Compound: CaHgF2
Source: Alexandria via LeMat-Bulk
Functional: GGA-PBE
Structure: optimized geometry

Cell and atoms, written as CIF:
```
data_CaHgF2
_chemical_formula_sum 'Ca4 Hg4 F8'
_cell_length_a 6.7371
_cell_length_b 6.7371
_cell_length_c 10.6599
_cell_angle_alpha 90.00
_cell_angle_beta 90.00
_cell_angle_gamma 90.00
_symmetry_space_group_name_H-M 'I -4 2 d'
_symmetry_Int_Tables_number 122
_symmetry_space_group_name_Hall 'I -4 2bw'
loop_
_atom_site_label
_atom_site_fract_x
_atom_site_fract_y
_atom_site_fract_z
Ca1 0.0000 0.0000 0.0000
Hg1 0.0000 0.0000 0.5000
F1 0.0244 0.2500 0.1250
```

Properties
E_form (uncorrected) = -2.7416 eV/atom
E = -4.25 eV/atom
total magnetization = 0.000 μB per cell


Compound: KCaSn2
Source: Alexandria via LeMat-Bulk
Functional: GGA-PBE
Structure: optimized geometry

Cell and atoms, written as CIF:
```
data_KCaSn2
_chemical_formula_sum 'K1 Ca1 Sn2'
_cell_length_a 4.8720
_cell_length_b 4.8720
_cell_length_c 5.0329
_cell_angle_alpha 90.00
_cell_angle_beta 90.00
_cell_angle_gamma 90.00
_symmetry_space_group_name_H-M 'P 4/m m m'
_symmetry_Int_Tables_number 123
_symmetry_space_group_name_Hall '-P 4 2'
loop_
_atom_site_label
_atom_site_fract_x
_atom_site_fract_y
_atom_site_fract_z
K1 0.0000 0.0000 0.0000
Ca1 0.5000 0.5000 0.0000
Sn1 0.0000 0.5000 0.5000
```

Properties
DFT formation energy = -101 kJ/mol of formula units
E = -3.04 eV/atom
total magnetization = 0.000 μB per cell


Compound: LaPm2ThHg4
Source: Alexandria via LeMat-Bulk
Functional: GGA-PBE
Structure: optimized geometry

Cell and atoms, written as CIF:
```
data_LaPm2ThHg4
_chemical_formula_sum 'La3 Pm6 Th3 Hg12'
_cell_length_a 5.4289
_cell_length_b 5.4289
_cell_length_c 26.6762
_cell_angle_alpha 90.00
_cell_angle_beta 90.00
_cell_angle_gamma 120.00
_symmetry_space_group_name_H-M 'R -3 m'
_symmetry_Int_Tables_number 166
_symmetry_space_group_name_Hall '-R 3 2"'
loop_
_atom_site_label
_atom_site_fract_x
_atom_site_fract_y
_atom_site_fract_z
La1 0.0000 0.0000 0.0000
Pm1 0.0000 0.0000 0.2487
Th1 0.0000 0.0000 0.5000
Hg1 0.0000 0.0000 0.1254
Hg2 0.0000 0.0000 0.3759
```

Properties
DFT formation energy = -309 kJ/mol of formula units
E = -3.28 eV/atom
total magnetization = 5.221 μB per cell


Compound: NaDy3Tm2Te6
Source: Alexandria via LeMat-Bulk
Functional: GGA-PBE
Structure: optimized geometry

Cell and atoms, written as CIF:
```
data_NaDy3Tm2Te6
_chemical_formula_sum 'Na2 Dy6 Tm4 Te12'
_cell_length_a 19.0304
_cell_length_b 4.3346
_cell_length_c 8.7591
_cell_angle_alpha 90.00
_cell_angle_beta 103.66
_cell_angle_gamma 90.00
_symmetry_space_group_name_H-M 'C 1 2/m 1'
_symmetry_Int_Tables_number 12
loop_
_symmetry_equiv_pos_as_xyz
'x,y,z'
'-x,-y,-z'
'-x,y,-z'
'x,-y,z'
'x+1/2,y+1/2,z'
'-x+1/2,-y+1/2,-z'
'-x+1/2,y+1/2,-z'
'x+1/2,-y+1/2,z'
loop_
_atom_site_label
_atom_site_fract_x
_atom_site_fract_y
_atom_site_fract_z
Na1 0.0000 0.0000 0.0000
Dy1 0.0000 0.0000 0.5000
Dy2 0.1618 0.5000 0.8223
Tm1 0.1678 0.5000 0.3406
Te1 0.0037 0.5000 0.2516
Te2 0.1670 0.0000 0.5804
Te3 0.1697 0.0000 0.0866
```

Properties
E_form (uncorrected) = -1.2618 eV/atom
E = -4.84 eV/atom
total magnetization = 0.000 μB per cell


Compound: Sm2DyTmS4
Source: Alexandria via LeMat-Bulk
Functional: GGA-PBE
Structure: optimized geometry

Cell and atoms, written as CIF:
```
data_Sm2DyTmS4
_chemical_formula_sum 'Sm2 Dy1 Tm1 S4'
_cell_length_a 6.7888
_cell_length_b 3.8902
_cell_length_c 6.9310
_cell_angle_alpha 90.00
_cell_angle_beta 108.82
_cell_angle_gamma 90.00
_symmetry_space_group_name_H-M 'P 1 2/m 1'
_symmetry_Int_Tables_number 10
loop_
_symmetry_equiv_pos_as_xyz
'x,y,z'
'-x,-y,-z'
'-x,y,-z'
'x,-y,z'
loop_
_atom_site_label
_atom_site_fract_x
_atom_site_fract_y
_atom_site_fract_z
Sm1 0.0000 0.0000 0.0000
Sm2 0.5000 0.5000 0.0000
Dy1 0.0000 0.5000 0.5000
Tm1 0.5000 0.0000 0.5000
S1 0.2486 0.0000 0.7375
S2 0.2580 0.5000 0.2646
```

Properties
E_form (uncorrected) = -1.9951 eV/atom
E = -6.37 eV/atom
total magnetization = 0.000 μB per cell


Compound: SnHg2I
Source: Alexandria via LeMat-Bulk
Functional: GGA-PBE
Structure: optimized geometry

Cell and atoms, written as CIF:
```
data_SnHg2I
_chemical_formula_sum 'Sn4 Hg8 I4'
_cell_length_a 7.8928
_cell_length_b 7.8928
_cell_length_c 7.8928
_cell_angle_alpha 90.00
_cell_angle_beta 90.00
_cell_angle_gamma 90.00
_symmetry_space_group_name_H-M 'F m -3 m'
_symmetry_Int_Tables_number 225
_symmetry_space_group_name_Hall '-F 4 2 3'
loop_
_atom_site_label
_atom_site_fract_x
_atom_site_fract_y
_atom_site_fract_z
Sn1 0.0000 0.0000 0.0000
Hg1 0.2500 0.2500 0.2500
I1 0.0000 0.0000 0.5000
```

Properties
E_form (uncorrected) = 0.1746 eV/atom
E = -1.36 eV/atom
total magnetization = 0.000 μB per cell